Record 1
# DyEr4Pb2 (PBE-GGA, relaxed)
data_DyEr4Pb2
_chemical_formula_sum 'Dy2 Er8 Pb4'
_space_group_name_H-M_alt 'I 4/m m m'
_space_group_IT_number 139
_space_group_name_Hall '-I 4 2'
_cell_length_a 5.3539
_cell_length_b 5.3539
_cell_length_c 16.4530
_cell_angle_alpha 90.00
_cell_angle_beta 90.00
_cell_angle_gamma 90.00
loop_
_atom_site_label
_atom_site_fract_x
_atom_site_fract_y
_atom_site_fract_z
Dy1 0.0000 0.0000 0.0000
Er1 0.0000 0.0000 0.1831
Er2 0.0000 0.5000 0.0000
Pb1 0.0000 0.0000 0.3698
# total energy = -3.8268 eV per atom

---

Record 2
# Dy2Er3Pb (PBE-GGA, relaxed)
data_Dy2Er3Pb
_chemical_formula_sum 'Dy4 Er6 Pb2'
_space_group_name_H-M_alt 'C m m m'
_space_group_IT_number 65
_space_group_name_Hall '-C 2 2'
_cell_length_a 4.8365
_cell_length_b 14.9594
_cell_length_c 4.8855
_cell_angle_alpha 90.00
_cell_angle_beta 90.00
_cell_angle_gamma 90.00
loop_
_atom_site_label
_atom_site_fract_x
_atom_site_fract_y
_atom_site_fract_z
Dy1 0.0000 0.1630 0.0000
Er1 0.0000 0.0000 0.5000
Er2 0.0000 0.3303 0.5000
Pb1 0.0000 0.5000 0.0000
# total energy = -4.6146 eV per atom

---

Record 3
# Dy5ErPb5 (PBE-GGA, relaxed)
data_Dy5ErPb5
_chemical_formula_sum 'Dy10 Er2 Pb10'
_space_group_name_H-M_alt 'C 1 2/m 1'
_space_group_IT_number 12
_space_group_name_Hall '-C 2y'
_cell_length_a 15.7711
_cell_length_b 6.2562
_cell_length_c 7.3428
_cell_angle_alpha 90.00
_cell_angle_beta 103.36
_cell_angle_gamma 90.00
loop_
_atom_site_label
_atom_site_fract_x
_atom_site_fract_y
_atom_site_fract_z
Dy1 0.0000 0.0000 0.0000
Dy2 0.1620 0.5000 0.8320
Dy3 0.1633 0.5000 0.3297
Er1 0.0000 0.0000 0.5000
Pb1 0.0000 0.5000 0.5000
Pb2 0.1665 0.0000 0.8383
Pb3 0.1675 0.0000 0.3322
# total energy = -4.4544 eV per atom

---

Record 4
# Dy2ErPb3 (PBE-GGA, relaxed)
data_Dy2ErPb3
_chemical_formula_sum 'Dy8 Er4 Pb12'
_space_group_name_H-M_alt 'C m c 21'
_space_group_IT_number 36
_space_group_name_Hall 'C 2c -2'
_cell_length_a 9.7356
_cell_length_b 11.6915
_cell_length_c 6.3510
_cell_angle_alpha 90.00
_cell_angle_beta 90.00
_cell_angle_gamma 90.00
loop_
_atom_site_label
_atom_site_fract_x
_atom_site_fract_y
_atom_site_fract_z
Dy1 0.1811 0.1319 0.0000
Er1 0.0000 0.3673 0.7617
Pb1 0.0000 0.3484 0.2593
Pb2 0.1751 0.1317 0.5051
# energy above the lowest structure with this stoichiometry = 0.216 eV per atom

---

| no. | size of the total moment (μB/cell) |
| --- | --- |
| 1 | 0.000 |
| 2 | 0.000 |
| 3 | 0.026 |
| 4 | 0.000 |